w.
First-principles (meta-GGA SCAN) data for a crystal of P4S3I2 relaxed with PBEsol, as listed in Alexandria via LeMat-Bulk.

Structure (POSCAR):
```
P4S3I2
1.0
-2.940 -5.879 -0.031
8.092 -4.046 -0.072
0.081 -0.125 16.171
P S I
16 12 8
Cartesian
1.401 -2.677 12.101
2.629 -4.794 5.675
2.604 -5.256 10.393
2.620 -5.283 13.758
2.146 -3.383 4.006
-2.733 -5.813 10.415
-1.320 -5.367 12.094
3.831 -7.374 3.967
7.948 -4.212 2.288
-0.275 -5.471 4.002
6.553 -4.684 3.974
7.965 -4.238 5.653
5.507 -4.580 12.066
2.612 -4.768 2.311
-2.716 -5.839 13.780
3.087 -6.668 12.062
0.049 -3.394 4.017
0.217 -2.066 10.442
4.332 -4.010 13.747
4.315 -3.985 10.407
-0.071 -7.051 12.075
4.999 -7.959 2.286
0.917 -6.066 5.662
5.016 -7.984 5.627
5.184 -6.657 12.052
0.234 -2.092 13.782
0.900 -6.040 2.321
5.304 -3.000 3.993
6.241 -4.728 0.546
6.275 -4.781 7.404
2.009 -3.078 0.580
-1.043 -5.270 8.664
3.224 -6.973 15.489
-1.009 -5.323 15.522
2.043 -3.131 7.438
3.190 -6.919 8.630
```

Output
The mass density is 3.27 Mg/m³. Its symmetry is Pnma, No. 62. The calculation puts the density of states at the Fermi level at 0.00 states/eV/f.u.

***

x.
First-principles (meta-GGA SCAN) data for a crystal of P4S3I2 relaxed with PBEsol, as listed in Alexandria via LeMat-Bulk.

Structure (POSCAR):
```
P4S3I2
1.0
-7.090 -0.706 -1.116
1.052 -6.693 -2.557
-2.029 -8.959 17.426
S I P
12 8 16
Cartesian
-4.347 -3.893 2.211
-5.836 -14.121 13.489
-6.002 -6.720 5.807
-2.066 -9.638 7.945
-2.231 -2.237 0.263
-3.198 -8.885 10.973
-3.720 -12.465 11.542
-6.158 -10.054 4.422
-2.251 -14.385 13.809
-5.817 -1.972 -0.056
-1.910 -6.304 9.331
-4.870 -7.472 2.779
-1.861 -10.861 14.566
-6.931 -8.675 12.660
-1.024 -4.576 4.371
-7.044 -11.782 9.382
-1.137 -7.682 1.092
-2.556 -10.296 4.090
-6.207 -5.497 -0.813
-5.512 -6.062 9.663
-2.949 -14.399 11.788
-4.748 -3.485 -1.079
-0.564 -6.606 5.751
-6.676 -8.501 3.047
-3.843 -9.043 8.981
-3.258 -4.110 0.431
-4.809 -12.248 13.321
-5.818 -8.841 14.907
-3.320 -12.872 14.831
-3.632 -6.955 8.284
-7.504 -9.751 8.002
-5.119 -1.959 1.965
-4.224 -7.315 4.771
-1.392 -7.856 10.706
-2.250 -7.516 -1.154
-4.436 -9.403 5.469
```

Output
The mass density is 3.07 Mg/m³. Its symmetry is P-1, No. 2. The calculation puts the density of states at the Fermi level at 0.00 states/eV/f.u.

***

Most stable = x

***

w.
First-principles (meta-GGA SCAN) data for a crystal of P4Se3I2 relaxed with PBEsol, as listed in Alexandria via LeMat-Bulk.

Structure (POSCAR):
```
P4Se3I2
1.0
-10.048 4.501 -2.432
5.739 -4.681 -8.502
-8.245 -7.102 -2.950
P Se I
16 12 8
Cartesian
-10.304 -5.486 -8.297
-7.774 -2.487 -9.343
-10.077 -1.205 -4.127
0.174 -1.135 -4.763
-5.047 -6.644 -6.019
-1.672 -1.696 -5.817
1.633 -3.686 -7.087
-9.582 -5.603 -10.370
-9.040 0.305 -7.473
-3.903 -4.772 -6.160
-3.057 -6.178 -9.527
-13.920 -1.749 -5.319
-4.713 -4.760 -9.240
-10.989 -3.067 -3.395
-12.497 -3.176 -6.198
0.330 -6.922 -7.938
-5.764 -4.713 -11.278
-8.844 -1.979 -7.385
3.319 -5.100 -7.542
-13.118 -3.294 -8.403
-2.887 -4.586 -4.112
-0.260 -4.706 -7.869
-8.070 -1.114 -3.118
-8.180 -5.950 -7.581
-4.593 -7.864 -9.702
-3.231 -0.277 -5.039
-5.826 -6.683 -3.911
-9.078 -7.822 -10.659
-4.612 -2.495 -1.776
-7.004 1.050 -6.257
-3.411 -2.643 -9.275
-9.458 -4.694 -4.485
-5.783 -3.160 -5.958
-11.764 -5.406 -11.544
-0.476 -1.822 -2.465
-5.204 1.823 -2.324
```

Output
The mass density is 3.88 Mg/m³. Its symmetry is I-42d, No. 122. The calculation puts the density of states at the Fermi level at 0.00 states/eV/f.u.

***

x.
First-principles (meta-GGA SCAN) data for a crystal of P4Se3I2 relaxed with PBEsol, as listed in Alexandria via LeMat-Bulk.

Structure (POSCAR):
```
P4Se3I2
1.0
6.761 0.000 0.000
0.000 9.427 0.000
0.000 0.000 16.074
Se P I
12 16 8
Cartesian
3.078 7.938 12.055
1.583 3.655 2.234
5.178 5.772 10.271
4.963 1.059 10.271
5.178 5.772 13.840
3.682 1.489 4.018
1.797 8.368 2.234
0.302 3.224 12.055
1.797 8.368 5.803
6.459 6.202 4.018
1.583 3.655 5.803
4.963 1.059 13.840
3.091 4.814 10.380
1.834 6.947 4.018
6.471 9.326 2.343
5.494 8.237 4.018
1.547 2.233 4.018
6.471 9.326 5.694
3.670 4.613 2.343
3.091 4.814 13.731
5.214 7.194 12.055
4.927 2.480 12.055
0.289 0.101 10.380
2.114 5.904 12.055
4.647 3.523 4.018
3.670 4.613 5.694
1.266 1.190 12.055
0.289 0.101 13.731
1.481 1.392 8.606
5.280 8.034 0.569
4.861 3.321 0.569
1.899 6.106 8.606
5.280 8.034 7.468
4.861 3.321 7.468
1.481 1.392 15.505
1.899 6.106 15.505
```

Output
The mass density is 3.98 Mg/m³. Its symmetry is Pnma, No. 62. The calculation puts the density of states at the Fermi level at 0.00 states/eV/f.u.

***

Most stable = w

***

w.
First-principles (meta-GGA SCAN) data for a crystal of RbTaSb2I relaxed with PBEsol, as listed in Alexandria via LeMat-Bulk.

Structure (POSCAR):
```
RbTaSb2I
1.0
-4.490 -2.362 -1.550
1.442 -4.419 2.556
-2.734 1.960 4.932
Sb Rb Ta I
2 1 1 1
Cartesian
-2.245 -1.181 -0.775
0.721 -2.210 1.278
-2.891 -2.411 2.969
0.000 0.000 0.000
-1.367 0.980 2.466
```

Output
The mass density is 6.29 Mg/m³. Its symmetry is P4/mmm, No. 123. The calculation puts the density of states at the Fermi level at 2.07 states/eV/f.u.

***

x.
First-principles (meta-GGA SCAN) data for a crystal of RbTaSb2I relaxed with PBEsol, as listed in Alexandria via LeMat-Bulk.

Structure (POSCAR):
```
RbTaSb2I
1.0
5.715 0.000 0.000
0.000 5.715 0.000
0.000 0.000 5.925
Sb Rb Ta I
2 1 1 1
Cartesian
0.000 2.857 0.000
2.857 0.000 0.000
0.000 0.000 0.000
2.857 2.857 2.963
0.000 0.000 2.963
```

Output
The mass density is 5.46 Mg/m³. Its symmetry is P4/mmm, No. 123. The calculation puts the density of states at the Fermi level at 4.62 states/eV/f.u.

***

Most stable = w

***

w.
First-principles (meta-GGA SCAN) data for a crystal of Sb2RhSI relaxed with PBEsol, as listed in Alexandria via LeMat-Bulk.

Structure (POSCAR):
```
Sb2RhSI
1.0
-0.570 -2.840 -4.161
-1.907 -3.754 2.823
-4.628 1.869 -0.641
Sb I S Rh
2 1 1 1
Cartesian
-0.285 -1.420 -2.081
-0.954 -1.877 1.412
-2.314 0.934 -0.321
0.000 0.000 0.000
-3.553 -2.363 -0.989
```

Output
The mass density is 6.49 Mg/m³. Its symmetry is P4/mmm, No. 123. The calculation puts the density of states at the Fermi level at 4.44 states/eV/f.u.

***

x.
First-principles (meta-GGA SCAN) data for a crystal of Sb2RhSI relaxed with PBEsol, as listed in Alexandria via LeMat-Bulk.

Structure (POSCAR):
```
Sb2RhSI
1.0
5.041 0.000 0.000
0.000 5.041 0.000
0.000 0.000 5.238
I Sb Rh S
1 2 1 1
Cartesian
0.000 0.000 2.619
2.520 0.000 0.000
0.000 2.520 0.000
0.000 0.000 0.000
2.520 2.520 2.619
```

Output
The mass density is 6.31 Mg/m³. Its symmetry is P4/mmm, No. 123. The calculation puts the density of states at the Fermi level at 4.71 states/eV/f.u.

***

Most stable = x

***

w.
First-principles (meta-GGA SCAN) data for a crystal of RhSeI2 relaxed with PBEsol, as listed in Alexandria via LeMat-Bulk.

Structure (POSCAR):
```
RhSeI2
1.0
6.481 0.105 0.170
-2.373 6.032 -0.170
-2.373 -2.855 5.317
I Rh Se
4 2 2
Cartesian
0.468 2.327 3.302
-2.773 -0.365 4.846
2.454 0.161 0.728
3.322 4.442 1.757
0.000 0.000 0.000
0.868 3.863 1.287
-2.373 1.589 2.573
0.868 -0.581 4.030
```

Output
The mass density is 6.90 Mg/m³. Its symmetry is I-42d, No. 122. The calculation puts the density of states at the Fermi level at 2.87 states/eV/f.u.

***

x.
First-principles (meta-GGA SCAN) data for a crystal of RhSeI2 relaxed with PBEsol, as listed in Alexandria via LeMat-Bulk.

Structure (POSCAR):
```
RhSeI2
1.0
4.976 0.000 0.000
2.488 4.309 0.000
2.488 1.436 4.063
Se Rh I
1 1 2
Cartesian
0.000 0.000 0.000
4.976 2.873 2.031
2.488 1.436 1.016
7.464 4.309 3.047
```

Output
The mass density is 8.31 Mg/m³. Its symmetry is Fm-3m, No. 225. The calculation puts the density of states at the Fermi level at 3.29 states/eV/f.u.

***

Most stable = w

***

w.
First-principles (meta-GGA SCAN) data for a crystal of ScSI3 relaxed with PBEsol, as listed in Alexandria via LeMat-Bulk.

Structure (POSCAR):
```
ScSI3
1.0
-3.956 -2.574 2.701
3.728 -2.549 3.029
-0.168 4.055 3.619
I S Sc
3 1 1
Cartesian
-0.084 2.028 1.809
-1.978 -1.287 1.351
1.864 -1.275 1.515
0.000 0.000 0.000
-0.198 -0.534 4.675
```

Output
The mass density is 4.73 Mg/m³. Its symmetry is Pm-3m, No. 221. The calculation puts the density of states at the Fermi level at 5.58 states/eV/f.u.

***

x.
First-principles (meta-GGA SCAN) data for a crystal of ScSI3 relaxed with PBEsol, as listed in Alexandria via LeMat-Bulk.

Structure (POSCAR):
```
ScSI3
1.0
-1.519 -5.010 -1.995
3.846 -2.460 3.248
-3.780 -0.489 4.106
I Sc S
3 1 1
Cartesian
-0.760 -2.505 -0.998
1.923 -1.230 1.624
-1.890 -0.244 2.053
0.000 0.000 0.000
-0.727 -3.979 2.680
```

Output
The mass density is 4.32 Mg/m³. Its symmetry is Pm-3m, No. 221. The calculation puts the density of states at the Fermi level at 4.07 states/eV/f.u.

***

Most stable = x